! PBE-GGA Ba2CaY, relaxed; values from VASP
! Calculated formation energy   0.20 eV/atom
! Energy above the lowest structure with this stoichiometry   25.4 kJ/mol of formula units
! Calculated volume   185 Å³ per cell
! E   -2.879 eV per atom
! DOS at the Fermi energy   1.148 states/eV/atom
&SYSTEM
  ibrav = 0, nat = 4, ntyp = 3
/
ATOMIC_SPECIES
Ba 137.33 Ba.upf
Ca 40.08 Ca.upf
Y 88.91 Y.upf
CELL_PARAMETERS angstrom
3.9259 -6.3853 0.0000
3.9259 6.3853 0.0000
-1.2025 0.0000 3.6924
ATOMIC_POSITIONS crystal
Ba 0.0000 0.5000 0.0000
Ba 0.5000 0.0000 0.0000
Ca 0.0000 0.0000 0.5000
Y 0.5000 0.5000 0.5000

! PBE-GGA La2PmHoTl2, relaxed; values from VASP
! Calculated formation energy   -0.29 eV/atom
! Calculated volume   374 Å³ per cell
! E   -4.274 eV per atom
! DOS at the Fermi energy   1.064 states/eV/atom
&SYSTEM
  ibrav = 0, nat = 12, ntyp = 4
/
ATOMIC_SPECIES
La 138.91 La.upf
Pm 145.00 Pm.upf
Ho 164.93 Ho.upf
Tl 204.38 Tl.upf
CELL_PARAMETERS angstrom
5.1720 0.0000 0.0000
0.0000 10.3228 0.0000
0.0000 0.0000 7.0109
ATOMIC_POSITIONS crystal
La 0.0000 0.0616 0.0000
La 0.0000 0.9384 0.5000
La 0.5000 0.1753 0.2294
La 0.5000 0.8247 0.7294
Pm 0.5000 0.4556 0.8758
Pm 0.5000 0.5444 0.3758
Ho 0.0000 0.3060 0.5847
Ho 0.0000 0.6940 0.0847
Tl 0.0000 0.3872 0.1397
Tl 0.0000 0.6128 0.6397
Tl 0.5000 0.1492 0.7104
Tl 0.5000 0.8508 0.2104